Entry 1:
Density functional theory data (PBE-GGA) for an optimized crystal structure of TbHoRuAu.

Values from the calculation:
- density (g/cm3) = 12.0
- total energy (eV/atom) = -6.094
- ΔH_f (0 K) (eV per formula unit) = -2.62
- energy above the lowest structure with this stoichiometry (eV per formula unit) = 0.000

Cell: 3.438 3.438 7.279 Å, 90.00 90.00 90.00°
Fractional coordinates of all 4 atoms:
Tb 0.000 0.000 0.000
Ho 0.000 0.000 0.539
Ru 0.500 0.500 0.767
Au 0.500 0.500 0.275

Entry 2:
Density functional theory data (PBE-GGA) for an optimized crystal structure of DyMgPa.

Values from the calculation:
- density (g/cm3) = 8.8
- total energy (eV/atom) = -5.209
- ΔH_f (0 K) (eV per formula unit) = 0.07

Cell: 3.363 3.363 13.964 Å, 90.00 90.00 90.00°
Fractional coordinates of all 6 atoms:
Dy 0.250 0.250 0.246
Dy 0.750 0.750 0.754
Mg 0.250 0.250 0.928
Mg 0.750 0.750 0.072
Pa 0.250 0.250 0.581
Pa 0.750 0.750 0.419

Entry 3:
Density functional theory data (PBE-GGA) for an optimized crystal structure of Pm2ErHfP4.

Values from the calculation:
- density (g/cm3) = 7.1
- total energy (eV/atom) = -7.212
- ΔH_f (0 K) (eV per formula unit) = -12.04

Cell: 6.870 3.962 6.889 Å, 90.00 109.22 90.00°
Fractional coordinates of all 8 atoms:
Pm 0.000 0.000 0.000
Pm 0.500 0.500 0.000
Er 0.000 0.500 0.500
Hf 0.500 0.000 0.500
P 0.253 0.000 0.733
P 0.266 0.500 0.272
P 0.734 0.500 0.728
P 0.747 0.000 0.267

Entry 4:
Density functional theory data (PBE-GGA) for an optimized crystal structure of Dy3TlZn.

Values from the calculation:
- density (g/cm3) = 9.4
- total energy (eV/atom) = -3.733
- ΔH_f (0 K) (eV per formula unit) = -1.22
- energy above the lowest structure with this stoichiometry (eV per formula unit) = 0.000

Cell: 10.580 10.580 5.114 Å, 90.00 90.00 152.04°
Fractional coordinates of all 10 atoms:
Dy 0.061 0.939 0.750
Dy 0.250 0.750 0.750
Dy 0.437 0.563 0.750
Dy 0.563 0.437 0.250
Dy 0.750 0.250 0.250
Dy 0.939 0.061 0.250
Tl 0.342 0.658 0.250
Tl 0.658 0.342 0.750
Zn 0.154 0.846 0.250
Zn 0.846 0.154 0.750

Entry 5:
Density functional theory data (PBE-GGA) for an optimized crystal structure of Ac12Si3Sn5.

Values from the calculation:
- E_form (uncorrected) (kJ/mol of atoms) = -12
- density (g/cm3) = 6.5
- total energy (eV/atom) = -4.400

Cell: 16.537 16.537 16.537 Å, 109.47 109.47 109.47°
Fractional coordinates of all 80 atoms:
Ac 0.059 0.227 0.137
Ac 0.059 0.332 0.922
Ac 0.078 0.637 0.411
Ac 0.078 0.941 0.668
Ac 0.089 0.727 0.668
Ac 0.089 0.863 0.422
Ac 0.137 0.059 0.227
Ac 0.137 0.578 0.911
Ac 0.168 0.227 0.589
Ac 0.168 0.441 0.578
Ac 0.227 0.137 0.059
Ac 0.227 0.589 0.168
Ac 0.273 0.332 0.911
Ac 0.273 0.441 0.363
Ac 0.332 0.911 0.273
Ac 0.332 0.922 0.059
Ac 0.363 0.273 0.441
Ac 0.363 0.589 0.922
Ac 0.411 0.078 0.637
Ac 0.411 0.832 0.773
Ac 0.422 0.089 0.863
Ac 0.422 0.832 0.559
Ac 0.441 0.363 0.273
Ac 0.441 0.578 0.168
Ac 0.559 0.422 0.832
Ac 0.559 0.637 0.727
Ac 0.578 0.168 0.441
Ac 0.578 0.911 0.137
Ac 0.589 0.168 0.227
Ac 0.589 0.922 0.363
Ac 0.637 0.411 0.078
Ac 0.637 0.727 0.559
Ac 0.668 0.078 0.941
Ac 0.668 0.089 0.727
Ac 0.727 0.559 0.637
Ac 0.727 0.668 0.089
Ac 0.773 0.411 0.832
Ac 0.773 0.863 0.941
Ac 0.832 0.559 0.422
Ac 0.832 0.773 0.411
Ac 0.863 0.422 0.089
Ac 0.863 0.941 0.773
Ac 0.911 0.137 0.578
Ac 0.911 0.273 0.332
Ac 0.922 0.059 0.332
Ac 0.922 0.363 0.589
Ac 0.941 0.668 0.078
Ac 0.941 0.773 0.863
Si 0.125 0.250 0.375
Si 0.125 0.375 0.750
Si 0.250 0.375 0.125
Si 0.250 0.875 0.625
Si 0.375 0.125 0.250
Si 0.375 0.750 0.125
Si 0.625 0.250 0.875
Si 0.625 0.875 0.750
Si 0.750 0.125 0.375
Si 0.750 0.625 0.875
Si 0.875 0.625 0.250
Si 0.875 0.750 0.625
Sn 0.000 0.000 0.000
Sn 0.000 0.000 0.500
Sn 0.000 0.500 0.000
Sn 0.000 0.500 0.500
Sn 0.125 0.750 0.875
Sn 0.125 0.875 0.250
Sn 0.250 0.125 0.875
Sn 0.250 0.625 0.375
Sn 0.375 0.250 0.625
Sn 0.375 0.625 0.750
Sn 0.500 0.000 0.000
Sn 0.500 0.000 0.500
Sn 0.500 0.500 0.000
Sn 0.500 0.500 0.500
Sn 0.625 0.375 0.250
Sn 0.625 0.750 0.375
Sn 0.750 0.375 0.625
Sn 0.750 0.875 0.125
Sn 0.875 0.125 0.750
Sn 0.875 0.250 0.125

Entry 6:
Density functional theory data (PBE-GGA) for an optimized crystal structure of Na2AgSn2.

Values from the calculation:
- density (g/cm3) = 4.7
- total energy (eV/atom) = -2.585
- ΔH_f (0 K) (eV per formula unit) = 0.57
- energy above the lowest structure with this stoichiometry (eV per formula unit) = 1.364

Cell: 9.374 9.374 3.142 Å, 90.00 90.00 90.00°
Fractional coordinates of all 10 atoms:
Na 0.190 0.310 0.000
Na 0.310 0.810 0.000
Na 0.690 0.190 0.000
Na 0.810 0.690 0.000
Ag 0.000 0.000 0.000
Ag 0.500 0.500 0.000
Sn 0.109 0.609 0.500
Sn 0.391 0.109 0.500
Sn 0.609 0.891 0.500
Sn 0.891 0.391 0.500

Entry 7:
Density functional theory data (PBE-GGA) for an optimized crystal structure of Ho2ScIn3.

Values from the calculation:
- density (g/cm3) = 8.0
- total energy (eV/atom) = -4.391
- ΔH_f (0 K) (eV per formula unit) = -2.64
- energy above the lowest structure with this stoichiometry (eV per formula unit) = 0.000

Cell: 3.490 3.490 12.287 Å, 90.00 90.00 90.00°
Fractional coordinates of all 6 atoms:
Ho 0.000 0.000 0.172
Ho 0.000 0.000 0.828
Sc 0.000 0.000 0.500
In 0.500 0.500 0.000
In 0.500 0.500 0.345
In 0.500 0.500 0.655

Entry 8:
Density functional theory data (PBE-GGA) for an optimized crystal structure of ZrBiPd2.

Values from the calculation:
- density (g/cm3) = 10.0
- total energy (eV/atom) = -5.916
- ΔH_f (0 K) (eV per formula unit) = -0.85

Cell: 4.220 4.220 19.149 Å, 90.00 90.00 90.00°
Fractional coordinates of all 16 atoms:
Zr 0.000 0.000 0.000
Zr 0.000 0.500 0.250
Zr 0.500 0.000 0.750
Zr 0.500 0.500 0.500
Bi 0.000 0.000 0.500
Bi 0.000 0.500 0.750
Bi 0.500 0.000 0.250
Bi 0.500 0.500 0.000
Pd 0.240 0.250 0.125
Pd 0.250 0.740 0.375
Pd 0.250 0.760 0.875
Pd 0.260 0.250 0.625
Pd 0.740 0.750 0.625
Pd 0.750 0.240 0.875
Pd 0.750 0.260 0.375
Pd 0.760 0.750 0.125